1.
{
  "formula": "TcPCl2",
  "functional": "PBE-GGA",
  "state": "relaxed",
  "relative_energy_ev_per_atom": 1.417,
  "sg": "No. 225",
  "raw_formation_energy_ev_per_atom": 0.9722,
  "lattice": [[0.0000, 3.1574, 3.1574], [3.1574, 0.0000, 3.1574], [3.1574, 3.1574, 0.0000]],
  "species": ["Tc", "P", "Cl", "Cl"],
  "fractional_positions": [[0.0000, 0.0000, 0.0000], [0.5000, 0.5000, 0.5000], [0.2500, 0.2500, 0.2500], [0.7500, 0.7500, 0.7500]]
}

=====

2.
{
  "formula": "TcP2Cl",
  "functional": "PBE-GGA",
  "state": "relaxed",
  "relative_energy_ev_per_atom": 0.567,
  "sg": "No. 71",
  "raw_formation_energy_ev_per_atom": 0.4058,
  "lattice": [[-1.4310, 2.2657, 5.1759], [1.4310, -2.2657, 5.1759], [1.4310, 2.2657, -5.1759]],
  "species": ["Tc", "P", "P", "Cl"],
  "fractional_positions": [[0.0000, 0.0000, 0.0000], [0.1919, 0.6919, 0.5000], [0.8081, 0.3081, 0.5000], [0.5000, 0.5000, 0.0000]]
}

=====

3.
{
  "formula": "Tc2PCl",
  "functional": "PBE-GGA",
  "state": "relaxed",
  "relative_energy_ev_per_atom": 0.597,
  "sg": "No. 47",
  "raw_formation_energy_ev_per_atom": 0.5262,
  "lattice": [[2.8456, 0.0000, 0.0000], [0.0000, 3.9133, 0.0000], [0.0000, 0.0000, 5.5301]],
  "species": ["Tc", "Tc", "P", "Cl"],
  "fractional_positions": [[0.0000, 0.0000, 0.0000], [0.5000, 0.0000, 0.5000], [0.0000, 0.5000, 0.5000], [0.5000, 0.5000, 0.0000]]
}

=====

4.
{
  "formula": "TcPCl",
  "functional": "PBE-GGA",
  "state": "relaxed",
  "relative_energy_ev_per_atom": 0.133,
  "sg": "No. 107",
  "raw_formation_energy_ev_per_atom": 0.0095,
  "lattice": [[-1.4841, 1.4841, 6.1079], [1.4841, -1.4841, 6.1079], [1.4841, 1.4841, -6.1079]],
  "species": ["Tc", "P", "Cl"],
  "fractional_positions": [[0.0000, 0.0000, 0.0000], [0.6080, 0.6080, 0.0000], [0.3623, 0.3623, 0.0000]]
}

=====

5.
{
  "formula": "Tc2PCl",
  "functional": "PBE-GGA",
  "state": "relaxed",
  "relative_energy_ev_per_atom": 0.326,
  "sg": "No. 44",
  "raw_formation_energy_ev_per_atom": 0.2545,
  "lattice": [[-1.4842, 1.9261, 5.1564], [1.4842, -1.9261, 5.1564], [1.4842, 1.9261, -5.1564]],
  "species": ["Tc", "Tc", "P", "Cl"],
  "fractional_positions": [[0.0000, 0.0000, 0.0000], [0.7390, 0.2390, 0.5000], [0.1819, 0.6819, 0.5000], [0.4418, 0.4418, 0.0000]]
}

=====

6.
{
  "formula": "TcPCl2",
  "functional": "PBE-GGA",
  "state": "relaxed",
  "relative_energy_ev_per_atom": 1.481,
  "sg": "No. 123",
  "raw_formation_energy_ev_per_atom": 1.0367,
  "lattice": [[4.4486, 0.0000, 0.0000], [0.0000, 4.4486, 0.0000], [0.0000, 0.0000, 3.2061]],
  "species": ["Tc", "P", "Cl", "Cl"],
  "fractional_positions": [[0.0000, 0.0000, 0.0000], [0.5000, 0.5000, 0.0000], [0.0000, 0.5000, 0.5000], [0.5000, 0.0000, 0.5000]]
}

=====

7.
{
  "formula": "Tc2PCl",
  "functional": "PBE-GGA",
  "state": "relaxed",
  "relative_energy_ev_per_atom": 0.082,
  "sg": "No. 160",
  "raw_formation_energy_ev_per_atom": 0.0105,
  "lattice": [[1.4632, 0.8448, 9.6651], [-1.4632, 0.8448, 9.6651], [0.0000, -1.6895, 9.6651]],
  "species": ["Tc", "Tc", "P", "Cl"],
  "fractional_positions": [[0.0000, 0.0000, 0.0000], [0.2581, 0.2581, 0.2581], [0.5314, 0.5314, 0.5314], [0.7293, 0.7293, 0.7293]]
}

=====

8.
{
  "formula": "Tc2PCl",
  "functional": "PBE-GGA",
  "state": "relaxed",
  "relative_energy_ev_per_atom": 0.519,
  "sg": "No. 71",
  "raw_formation_energy_ev_per_atom": 0.4479,
  "lattice": [[-1.4386, 2.7725, 3.9341], [1.4386, -2.7725, 3.9341], [1.4386, 2.7725, -3.9341]],
  "species": ["Tc", "Tc", "P", "Cl"],
  "fractional_positions": [[0.2336, 0.2336, 0.0000], [0.7664, 0.7664, 0.0000], [0.0000, 0.5000, 0.5000], [0.5000, 0.0000, 0.5000]]
}